Compound: ZnSn2Pd
Source: Alexandria
Functional: PBE-GGA
Structure: optimized geometry

a b c (Å): 3.396 3.396 9.392
angles (deg): 79.58 79.58 60.00
Positions (direct):
Zn (0.000, 0.000, 0.000)
Sn (0.096, 0.096, 0.712)
Sn (0.904, 0.904, 0.288)
Pd (0.500, 0.500, 0.500)

Values from the calculation:
Energy of formation from the pure elements ... -8.6 kJ per mole of atoms
Calculated density ... 7.41 g/cm3
Space-group type ... R-3m (166)
Magnetization ... 0.0 μB per formula unit